# 1
A relaxed LiPm2Ge3Pd4 crystal, computed with PBE-GGA.

Calculated total energy, eV/atom: -5.41
Formation enthalpy at 0 K, eV per formula unit: -8.06

a b c (Å): 4.2774 4.2774 10.3008
angles (deg): 90.00 90.00 90.00
Space group P-4m2 (No. 115)
Asymmetric unit:
Li: 0.0000 0.0000 0.0000
Pm: 0.0000 0.5000 0.7488
Ge: 0.0000 0.5000 0.3648
Ge: 0.5000 0.5000 0.0000
Pd: 0.0000 0.0000 0.5000
Pd: 0.0000 0.5000 0.1266
Pd: 0.5000 0.5000 0.5000

# 2
A relaxed LiPm3Ge6Pd2 crystal, computed with PBE-GGA.

Calculated total energy, eV/atom: -5.01
Formation enthalpy at 0 K, eV per formula unit: -5.88

a b c (Å): 5.9964 5.9964 8.1563
angles (deg): 90.00 90.00 120.00
Space group P-3m1 (No. 164)
Asymmetric unit:
Li: 0.0000 0.0000 0.0000
Pm: 0.0000 0.0000 0.5000
Pm: 0.3333 0.6667 0.1210
Ge: 0.1877 0.3755 0.7826
Pd: 0.3333 0.6667 0.5252

# 3
A relaxed LiPr2GePd6 crystal, computed with PBE-GGA.

Calculated total energy, eV/atom: -5.31
Formation enthalpy at 0 K, eV per formula unit: -5.86

a b c (Å): 5.5625 6.5420 6.6179
angles (deg): 80.96 65.25 64.98
Space group P-1 (No. 2)
Asymmetric unit:
Li: 0.0000 0.0000 0.0000
Pr: 0.4763 0.2693 0.7792
Ge: 0.0000 0.5000 0.5000
Pd: 0.0104 0.7276 0.7608
Pd: 0.1542 0.0913 0.5982
Pd: 0.4984 0.2713 0.2402

# 4
A relaxed LiPrGe2Pd5 crystal, computed with PBE-GGA.

Calculated total energy, eV/atom: -5.25
Formation enthalpy at 0 K, eV per formula unit: -5.34

a b c (Å): 4.1959 4.1959 9.3758
angles (deg): 90.00 90.00 90.00
Space group P4/mmm (No. 123)
Asymmetric unit:
Li: 0.0000 0.0000 0.0000
Pr: 0.0000 0.0000 0.5000
Ge: 0.5000 0.5000 0.1301
Pd: 0.0000 0.5000 0.2678
Pd: 0.5000 0.5000 0.5000

# 5
A relaxed LiPr2Ge4Pd3 crystal, computed with PBE-GGA.

Calculated total energy, eV/atom: -5.31
Formation enthalpy at 0 K, eV per formula unit: -7.60

a b c (Å): 4.3333 4.3333 10.3879
angles (deg): 90.00 90.00 90.00
Space group P-4m2 (No. 115)
Asymmetric unit:
Li: 0.0000 0.0000 0.0000
Pr: 0.0000 0.5000 0.7518
Ge: 0.0000 0.0000 0.5000
Ge: 0.0000 0.5000 0.1335
Ge: 0.5000 0.5000 0.5000
Pd: 0.0000 0.5000 0.3731
Pd: 0.5000 0.5000 0.0000

# 6
A relaxed LiPrGe2Pd4 crystal, computed with PBE-GGA.

Calculated total energy, eV/atom: -5.26
Formation enthalpy at 0 K, eV per formula unit: -5.37

a b c (Å): 4.3032 4.3032 25.8745
angles (deg): 90.00 90.00 120.00
Space group R-3m (No. 166, hexagonal axes)
Asymmetric unit:
Li: 0.0000 0.0000 0.0000
Pr: 0.0000 0.0000 0.5000
Ge: 0.0000 0.0000 0.2631
Pd: 0.0000 0.0000 0.0956
Pd: 0.0000 0.0000 0.3657

# 7
A relaxed Li3Pr2Ge4Pd crystal, computed with PBE-GGA.

Calculated total energy, eV/atom: -4.51
Formation enthalpy at 0 K, eV per formula unit: -6.19

a b c (Å): 4.3039 4.3039 10.2597
angles (deg): 90.00 90.00 90.00
Space group P-4m2 (No. 115)
Asymmetric unit:
Li: 0.0000 0.0000 0.0000
Li: 0.0000 0.5000 0.6298
Pr: 0.0000 0.5000 0.2533
Ge: 0.0000 0.0000 0.5000
Ge: 0.0000 0.5000 0.8710
Ge: 0.5000 0.5000 0.5000
Pd: 0.5000 0.5000 0.0000

# 8
A relaxed LiPrGe2Pd crystal, computed with PBE-GGA.

Calculated total energy, eV/atom: -4.99
Formation enthalpy at 0 K, eV per formula unit: -3.81

a b c (Å): 4.2144 4.2144 10.7919
angles (deg): 90.00 90.00 90.00
Space group I-4m2 (No. 119)
Asymmetric unit:
Li: 0.0000 0.0000 0.0000
Pr: 0.0000 0.5000 0.2500
Ge: 0.0000 0.5000 0.6342
Pd: 0.0000 0.0000 0.5000